Record 1
{
  "formula": "Th2ScNi",
  "functional": "PBE",
  "state": "optimized geometry",
  "lattice": [[3.5340, 0.0000, 0.0000], [0.0000, 3.5340, 0.0000], [0.0000, 0.0000, 8.0880]],
  "species": ["Th", "Th", "Sc", "Ni"],
  "frac_coords": [[0.0000, 0.0000, 0.2067], [0.0000, 0.0000, 0.7933], [0.5000, 0.5000, 0.5000], [0.5000, 0.5000, 0.0000]],
  "dos_at_fermi_per_ev_atom": 1.75,
  "relative_energy_mev_per_atom": 0.0,
  "space_group": "P4/mmm",
  "ef_ev_per_fu": -0.33,
  "total_magnetization_mub_per_fu": 0.00
}



Record 2
{
  "formula": "ThScNi4",
  "functional": "PBE",
  "state": "optimized geometry",
  "lattice": [[0.0000, 3.5713, 3.5713], [3.5713, 0.0000, 3.5713], [3.5713, 3.5713, 0.0000]],
  "species": ["Th", "Sc", "Ni", "Ni", "Ni", "Ni"],
  "frac_coords": [[0.0000, 0.0000, 0.0000], [0.7500, 0.7500, 0.7500], [0.3761, 0.3761, 0.3761], [0.3761, 0.3761, 0.8716], [0.3761, 0.8716, 0.3761], [0.8716, 0.3761, 0.3761]],
  "dos_at_fermi_per_ev_atom": 0.82,
  "space_group": "F-43m",
  "ef_ev_per_fu": -2.62,
  "total_magnetization_mub_per_fu": 0.00
}



Record 3
{
  "formula": "ThScNi",
  "functional": "PBE",
  "state": "optimized geometry",
  "lattice": [[-1.6635, 1.6635, 6.0075], [1.6635, -1.6635, 6.0075], [1.6635, 1.6635, -6.0075]],
  "species": ["Th", "Sc", "Ni"],
  "frac_coords": [[0.0000, 0.0000, 0.0000], [0.2730, 0.2730, 0.0000], [0.6592, 0.6592, 0.0000]],
  "dos_at_fermi_per_ev_atom": 1.22,
  "relative_energy_mev_per_atom": 83.0,
  "space_group": "I4mm",
  "ef_ev_per_fu": -0.57,
  "total_magnetization_mub_per_fu": 0.00
}



Record 4
{
  "formula": "Th2ScNi2",
  "functional": "PBE",
  "state": "optimized geometry",
  "lattice": [[7.6183, 0.0000, 0.0000], [0.0000, 7.6183, 0.0000], [0.0000, 0.0000, 3.7386]],
  "species": ["Th", "Th", "Th", "Th", "Sc", "Sc", "Ni", "Ni", "Ni", "Ni"],
  "frac_coords": [[0.1745, 0.3255, 0.0000], [0.3255, 0.8255, 0.0000], [0.6745, 0.1745, 0.0000], [0.8255, 0.6745, 0.0000], [0.0000, 0.0000, 0.5000], [0.5000, 0.5000, 0.5000], [0.1248, 0.6248, 0.5000], [0.3752, 0.1248, 0.5000], [0.6248, 0.8752, 0.5000], [0.8752, 0.3752, 0.5000]],
  "dos_at_fermi_per_ev_atom": 0.85,
  "space_group": "P4/mbm",
  "ef_ev_per_fu": -1.98,
  "total_magnetization_mub_per_fu": 0.00
}



Record 5
{
  "formula": "ThScNi",
  "functional": "PBE",
  "state": "optimized geometry",
  "lattice": [[5.9011, -2.2415, 0.0000], [5.9011, 2.2415, 0.0000], [-0.8351, 0.0000, 5.1154]],
  "species": ["Th", "Th", "Sc", "Sc", "Ni", "Ni"],
  "frac_coords": [[0.1191, 0.1191, 0.2922], [0.8809, 0.8809, 0.7078], [0.4010, 0.4010, 0.2093], [0.5990, 0.5990, 0.7907], [0.2226, 0.2226, 0.8324], [0.7774, 0.7774, 0.1676]],
  "dos_at_fermi_per_ev_atom": 0.90,
  "relative_energy_mev_per_atom": 0.0,
  "space_group": "C2/m",
  "ef_ev_per_fu": -0.82,
  "total_magnetization_mub_per_fu": 0.00
}



Record 6
{
  "formula": "ThScNi10",
  "functional": "PBE",
  "state": "optimized geometry",
  "lattice": [[3.9874, 0.0000, 0.0000], [0.0000, 4.8399, 0.0000], [0.0000, 0.0000, 8.3965]],
  "species": ["Th", "Sc", "Ni", "Ni", "Ni", "Ni", "Ni", "Ni", "Ni", "Ni", "Ni", "Ni"],
  "frac_coords": [[0.0000, 0.0000, 0.0000], [0.0000, 0.5000, 0.5000], [0.0000, 0.0000, 0.3408], [0.0000, 0.0000, 0.6592], [0.0000, 0.5000, 0.1772], [0.0000, 0.5000, 0.8228], [0.5000, 0.0000, 0.5000], [0.5000, 0.2518, 0.2556], [0.5000, 0.2518, 0.7444], [0.5000, 0.5000, 0.0000], [0.5000, 0.7482, 0.2556], [0.5000, 0.7482, 0.7444]],
  "dos_at_fermi_per_ev_atom": 1.09,
  "space_group": "Pmmm",
  "ef_ev_per_fu": -4.08,
  "total_magnetization_mub_per_fu": 2.34
}



Record 7
{
  "formula": "ThSc2Ni6",
  "functional": "PBE",
  "state": "optimized geometry",
  "lattice": [[-1.7097, 3.3707, 6.2936], [1.7097, -3.3707, 6.2936], [1.7097, 3.3707, -6.2936]],
  "species": ["Th", "Sc", "Sc", "Ni", "Ni", "Ni", "Ni", "Ni", "Ni"],
  "frac_coords": [[0.0000, 0.0000, 0.0000], [0.3604, 0.8604, 0.5000], [0.6396, 0.1396, 0.5000], [0.0114, 0.3190, 0.6924], [0.3217, 0.5000, 0.8217], [0.3735, 0.6810, 0.6924], [0.6265, 0.3190, 0.3076], [0.6783, 0.5000, 0.1783], [0.9886, 0.6810, 0.3076]],
  "dos_at_fermi_per_ev_atom": 1.02,
  "space_group": "Immm",
  "ef_ev_per_fu": -2.38,
  "total_magnetization_mub_per_fu": 0.00
}



Record 8
{
  "formula": "ThSc3Ni",
  "functional": "PBE",
  "state": "optimized geometry",
  "lattice": [[5.4713, -3.8731, 0.0000], [5.4713, 3.8731, 0.0000], [-4.6999, 0.0000, 5.6868]],
  "species": ["Th", "Th", "Sc", "Sc", "Sc", "Sc", "Sc", "Sc", "Ni", "Ni"],
  "frac_coords": [[0.0318, 0.0318, 0.2902], [0.9682, 0.9682, 0.7098], [0.0931, 0.4929, 0.2581], [0.4291, 0.4291, 0.7340], [0.4929, 0.0931, 0.2581], [0.5071, 0.9069, 0.7419], [0.5709, 0.5709, 0.2660], [0.9069, 0.5071, 0.7419], [0.2753, 0.2753, 0.9232], [0.7247, 0.7247, 0.0768]],
  "dos_at_fermi_per_ev_atom": 1.43,
  "relative_energy_mev_per_atom": 0.0,
  "space_group": "C2/m",
  "ef_ev_per_fu": -0.60,
  "total_magnetization_mub_per_fu": 0.00
}



Record 9
{
  "formula": "ThScNi",
  "functional": "PBE",
  "state": "optimized geometry",
  "lattice": [[0.0000, 5.0457, 9.3671], [2.7938, 0.0000, 9.3671], [2.7938, 5.0457, 0.0000]],
  "species": ["Th", "Th", "Th", "Th", "Sc", "Sc", "Sc", "Sc", "Ni", "Ni", "Ni", "Ni"],
  "frac_coords": [[0.0372, 0.7128, 0.0372], [0.2872, 0.9628, 0.2872], [0.7128, 0.0372, 0.7128], [0.9628, 0.2872, 0.9628], [0.2882, 0.2882, 0.4618], [0.4618, 0.4618, 0.2882], [0.5382, 0.5382, 0.7118], [0.7118, 0.7118, 0.5382], [0.0011, 0.0011, 0.7489], [0.2511, 0.2511, 0.9989], [0.7489, 0.7489, 0.0011], [0.9989, 0.9989, 0.2511]],
  "dos_at_fermi_per_ev_atom": 1.20,
  "relative_energy_mev_per_atom": 12.3,
  "space_group": "Fddd",
  "ef_ev_per_fu": -0.79,
  "total_magnetization_mub_per_fu": 0.00
}



Record 10
{
  "formula": "Th2ScNi",
  "functional": "PBE",
  "state": "optimized geometry",
  "lattice": [[1.7390, 1.0040, 10.2322], [-1.7390, 1.0040, 10.2322], [0.0000, -2.0080, 10.2322]],
  "species": ["Th", "Th", "Sc", "Ni"],
  "frac_coords": [[0.1030, 0.1030, 0.1030], [0.8970, 0.8970, 0.8970], [0.0000, 0.0000, 0.0000], [0.5000, 0.5000, 0.5000]],
  "dos_at_fermi_per_ev_atom": 1.44,
  "relative_energy_mev_per_atom": 294.8,
  "space_group": "R-3m",
  "ef_ev_per_fu": 0.85,
  "total_magnetization_mub_per_fu": 0.00
}



Record 11
{
  "formula": "ThScZnNi",
  "functional": "PBE",
  "state": "optimized geometry",
  "lattice": [[0.0000, 3.4539, 3.4539], [3.4539, 0.0000, 3.4539], [3.4539, 3.4539, 0.0000]],
  "species": ["Th", "Sc", "Zn", "Ni"],
  "frac_coords": [[0.0000, 0.0000, 0.0000], [0.5000, 0.5000, 0.5000], [0.7500, 0.7500, 0.7500], [0.2500, 0.2500, 0.2500]],
  "dos_at_fermi_per_ev_atom": 0.86,
  "space_group": "F-43m",
  "ef_ev_per_fu": -1.01,
  "total_magnetization_mub_per_fu": 0.00
}



Record 12
{
  "formula": "ScTi3Ni6",
  "functional": "PBE",
  "state": "optimized geometry",
  "lattice": [[7.2859, 0.0000, 0.0000], [0.0000, 4.1518, 0.0000], [-1.1244, 0.0000, 9.0448]],
  "species": ["Sc", "Sc", "Ti", "Ti", "Ti", "Ti", "Ti", "Ti", "Ni", "Ni", "Ni", "Ni", "Ni", "Ni", "Ni", "Ni", "Ni", "Ni", "Ni", "Ni"],
  "frac_coords": [[0.0365, 0.2500, 0.3640], [0.9635, 0.7500, 0.6360], [0.2588, 0.2500, 0.0755], [0.3340, 0.7500, 0.8228], [0.4184, 0.2500, 0.6154], [0.5816, 0.7500, 0.3846], [0.6660, 0.2500, 0.1772], [0.7412, 0.7500, 0.9245], [0.0779, 0.7500, 0.9661], [0.1423, 0.2500, 0.8063], [0.2071, 0.7500, 0.2363], [0.2794, 0.7500, 0.5025], [0.3965, 0.2500, 0.3421], [0.4860, 0.7500, 0.0883], [0.5140, 0.2500, 0.9117], [0.6035, 0.7500, 0.6579], [0.7206, 0.2500, 0.4975], [0.7929, 0.2500, 0.7637], [0.8577, 0.7500, 0.1937], [0.9221, 0.2500, 0.0339]],
  "dos_at_fermi_per_ev_atom": 0.69,
  "space_group": "P2_1/m",
  "ef_ev_per_fu": -3.98,
  "total_magnetization_mub_per_fu": 0.00
}



no.,raw total energy (eV/cell)
1,-27.28
2,-39.49
3,-20.11
4,-69.42
5,-40.71
6,-75.64
7,-57.15
8,-65.58
9,-81.28
10,-26.10
11,-21.82
12,-137.36